16
Lattice="7.303 0.000 0.000 0.000 7.303 0.000 0.000 0.000 7.303" Properties=species:S:1:pos:R:3 comment="KSrRu2 (PBE-GGA, optimized geometry)" final_energy_ev_per_atom=-3.88 formation_enthalpy_0k_ev_per_atom=1.45 magnetic_moment_mub_per_cell=12.108 dos_ef_per_ev_cell=31.93 sg=Fm-3m pbc="T T T"
K 0.000 0.000 0.000
K 0.000 3.652 3.652
K 3.652 0.000 3.652
K 3.652 3.652 0.000
Sr 0.000 0.000 3.652
Sr 0.000 3.652 0.000
Sr 3.652 0.000 0.000
Sr 3.652 3.652 3.652
Ru 1.826 1.826 1.826
Ru 1.826 1.826 5.478
Ru 1.826 5.478 1.826
Ru 1.826 5.478 5.478
Ru 5.478 1.826 1.826
Ru 5.478 1.826 5.478
Ru 5.478 5.478 1.826
Ru 5.478 5.478 5.478